Entry 1:
DFT (PBE) results for crystalline CuP2H4O4 at its relaxed geometry.

Symmetry: No. 51

Lattice parameters (Å, degrees): 6.657 5.464 7.323 90.00 90.00 90.00
Element x y z (fractional)
Cu 0.000 0.000 0.000
Cu 0.500 0.000 0.000
P 0.250 0.000 0.366
P 0.250 0.500 0.856
P 0.750 0.000 0.634
P 0.750 0.500 0.144
H 0.081 0.500 0.738
H 0.250 0.204 0.485
H 0.250 0.796 0.485
H 0.419 0.500 0.738
H 0.581 0.500 0.262
H 0.750 0.204 0.515
H 0.750 0.796 0.515
H 0.919 0.500 0.262
O 0.050 0.000 0.262
O 0.250 0.261 0.966
O 0.250 0.739 0.966
O 0.450 0.000 0.262
O 0.550 0.000 0.738
O 0.750 0.261 0.034
O 0.750 0.739 0.034
O 0.950 0.000 0.738

=====

Entry 2:
DFT (PBE) results for crystalline Tm4MgIn5 at its relaxed geometry.

Symmetry: No. 123
Formation enthalpy at 0 K: -0.365 eV/atom

Lattice parameters (Å, degrees): 3.567 3.567 19.777 90.00 90.00 90.00
Element x y z (fractional)
Tm 0.000 0.000 0.104
Tm 0.000 0.000 0.311
Tm 0.000 0.000 0.689
Tm 0.000 0.000 0.896
Mg 0.000 0.000 0.500
In 0.500 0.500 0.000
In 0.500 0.500 0.207
In 0.500 0.500 0.412
In 0.500 0.500 0.588
In 0.500 0.500 0.793

=====

Entry 3:
DFT (PBE) results for crystalline Sr2Ga5Ag3 at its relaxed geometry.

Symmetry: No. 115
Formation enthalpy at 0 K: -0.328 eV/atom

Lattice parameters (Å, degrees): 4.428 4.428 11.485 90.00 90.00 90.00
Element x y z (fractional)
Sr 0.000 0.500 0.244
Sr 0.500 0.000 0.756
Ga 0.000 0.000 0.000
Ga 0.000 0.000 0.500
Ga 0.000 0.500 0.871
Ga 0.500 0.000 0.129
Ga 0.500 0.500 0.000
Ag 0.000 0.500 0.644
Ag 0.500 0.000 0.356
Ag 0.500 0.500 0.500

=====

no.,density of states at the Fermi level (states/eV/f.u.),total moment (μB/f.u.),calculated total energy (eV per atom)
1,2.37,1.00,-5.272
2,5.61,0.00,-3.682
3,3.13,0.00,-3.033